# Tb4PaSb5, optimized geometry, DFT PBE-GGA
data_Tb4PaSb5
_chemical_formula_sum 'Tb8 Pa2 Sb10'
_cell_length_a 9.8185
_cell_length_b 9.8185
_cell_length_c 6.2163
_cell_angle_alpha 90.00
_cell_angle_beta 90.00
_cell_angle_gamma 90.00
_symmetry_space_group_name_H-M 'I 4/m'
_symmetry_Int_Tables_number 87
_symmetry_space_group_name_Hall '-I 4'
loop_
_atom_site_label
_atom_site_fract_x
_atom_site_fract_y
_atom_site_fract_z
_atom_site_occupancy
Tb1 0.0992 0.6985 0.0000 1
Pa1 0.0000 0.0000 0.5000 1
Sb1 0.0000 0.0000 0.0000 1
Sb2 0.0990 0.7027 0.5000 1
# DOS(E_F)	0.66	states/eV per atom
# formation energy (no corrections)	-1.011	eV/atom